# 1
Below is crystalline FePt3 at its relaxed geometry, with properties calculated at the PBE level.

abc: 4.797 4.797 2.768
angles: 90.00 90.00 109.61
Fractional positions:
Pt1 0.500 0.000 0.500
Pt2 0.000 0.500 0.500
Pt3 0.500 0.500 0.000
Fe1 0.000 0.000 0.000

Values from the calculation:
Space-group type   Cmmm (65)
M_tot   4.11 Bohr magnetons per cell
Formation energy from the elements   -168 meV per atom

---

# 2
Below is crystalline FePt3 at its relaxed geometry, with properties calculated at the PBE level.

abc: 2.772 4.530 4.791
angles: 90.00 90.00 90.00
Fractional positions:
Pt1 0.500 0.500 0.836
Pt2 0.500 0.000 0.498
Pt3 0.000 0.500 0.330
Fe1 0.000 0.000 0.003

Values from the calculation:
Space-group type   Pmm2 (25)
M_tot   4.20 Bohr magnetons per cell
Formation energy from the elements   -143 meV per atom

---

# 3
Below is crystalline FePt3 at its relaxed geometry, with properties calculated at the PBE level.

abc: 2.751 3.889 6.231
angles: 90.00 64.01 90.00
Fractional positions:
Pt1 0.500 0.000 0.500
Pt2 0.741 0.500 0.759
Pt3 0.259 0.500 0.241
Fe1 0.000 0.000 0.000

Values from the calculation:
Space-group type   P2/m (10)
M_tot   3.92 Bohr magnetons per cell
Formation energy from the elements   -166 meV per atom

---

# 4
Below is crystalline FePt at its relaxed geometry, with properties calculated at the PBE level.

abc: 4.656 5.871 2.753
angles: 76.44 90.00 128.39
Fractional positions:
Fe1 0.944 0.015 0.993
Pt1 0.652 0.512 0.744
Fe2 0.139 0.485 0.257
Pt2 0.431 0.988 0.506

Values from the calculation:
Space-group type   C2/m (12)
M_tot   6.55 Bohr magnetons per cell
Formation energy from the elements   -199 meV per atom

---

# 5
Below is crystalline Fe2Pt at its relaxed geometry, with properties calculated at the PBE level.

abc: 5.917 5.917 5.917
angles: 90.00 90.00 90.00
Fractional positions:
Fe1 0.878 0.378 0.122
Fe2 0.122 0.878 0.378
Fe3 0.878 0.122 0.622
Pt1 0.000 0.000 0.000
Fe4 0.122 0.622 0.878
Fe5 0.622 0.622 0.622
Fe6 0.622 0.878 0.122
Fe7 0.378 0.378 0.378
Fe8 0.378 0.122 0.878
Pt2 0.500 0.500 0.000
Pt3 0.000 0.500 0.500
Pt4 0.500 0.000 0.500

Values from the calculation:
Space-group type   Pa-3 (205)
M_tot   26.32 Bohr magnetons per cell
Formation energy from the elements   643 meV per atom

---

# 6
Below is crystalline Fe7Pt at its relaxed geometry, with properties calculated at the PBE level.

abc: 5.239 5.239 5.239
angles: 60.00 60.00 60.00
Fractional positions:
Fe1 0.000 0.500 0.500
Fe2 0.500 0.000 0.000
Fe3 0.500 0.000 0.500
Fe4 0.000 0.500 0.000
Fe5 0.500 0.500 0.000
Fe6 0.500 0.500 0.500
Fe7 0.000 0.000 0.500
Pt1 0.000 0.000 0.000

Values from the calculation:
Space-group type   Fm-3m (225)
M_tot   19.54 Bohr magnetons per cell
Formation energy from the elements   53 meV per atom

---

# 7
Below is crystalline Fe2Pt3 at its relaxed geometry, with properties calculated at the PBE level.

abc: 8.064 6.981 5.261
angles: 81.08 58.79 40.13
Fractional positions:
Fe1 0.904 0.193 0.541
Pt1 0.806 0.903 0.781
Pt2 0.168 0.332 0.332
Pt3 0.918 0.082 0.082
Pt4 0.510 0.781 0.903
Fe2 0.057 0.346 0.888
Pt5 0.347 0.444 0.740
Fe3 0.709 0.888 0.346
Pt6 0.469 0.740 0.444
Fe4 0.362 0.541 0.193

Values from the calculation:
Space-group type   Fdd2 (43)
M_tot   14.73 Bohr magnetons per cell
Formation energy from the elements   -156 meV per atom

---

# 8
Below is crystalline Fe2Pt at its relaxed geometry, with properties calculated at the PBE level.

abc: 7.317 7.317 2.650
angles: 90.00 90.00 120.00
Fractional positions:
Pt1 0.333 0.667 0.000
Pt2 0.667 0.333 0.000
Fe1 0.000 0.306 0.000
Fe2 0.365 0.365 0.500
Fe3 0.694 0.694 0.000
Pt3 0.000 0.000 0.500
Fe4 0.000 0.635 0.500
Fe5 0.306 0.000 0.000
Fe6 0.635 0.000 0.500

Values from the calculation:
Space-group type   P-62m (189)
M_tot   17.49 Bohr magnetons per cell
Formation energy from the elements   -22 meV per atom

---

Question: Which of these has the highest M_tot?
Answer: number 5